Entry 1
# PBE CaCrTe2, optimized geometry
data_CaCrTe2
_chemical_formula_sum 'Ca3 Cr3 Te6'
_cell_length_a 4.302
_cell_length_b 4.302
_cell_length_c 20.864
_cell_angle_alpha 90.00
_cell_angle_beta 90.00
_cell_angle_gamma 120.00
_symmetry_space_group_name_H-M 'P 1'
_symmetry_Int_Tables_number 1
_symmetry_space_group_name_Hall 'P 1'
loop_
_atom_site_label
_atom_site_type_symbol
_atom_site_fract_x
_atom_site_fract_y
_atom_site_fract_z
Ca1 Ca 0.000 0.000 0.000
Ca2 Ca 0.333 0.667 0.667
Ca3 Ca 0.667 0.333 0.333
Cr1 Cr 0.000 0.000 0.500
Cr2 Cr 0.333 0.667 0.167
Cr3 Cr 0.667 0.333 0.833
Te1 Te 0.000 0.000 0.239
Te2 Te 0.000 0.000 0.761
Te3 Te 0.333 0.667 0.428
Te4 Te 0.333 0.667 0.906
Te5 Te 0.667 0.333 0.094
Te6 Te 0.667 0.333 0.572
# Total magnetic moment in μB/f.u.: 4.00
# Fermi-level density of states in states/eV/f.u.: 3.441

---

Entry 2
# PBE CaCrTe2, optimized geometry
data_CaCrTe2
_chemical_formula_sum 'Ca1 Cr1 Te2'
_cell_length_a 3.740
_cell_length_b 3.740
_cell_length_c 7.536
_cell_angle_alpha 90.00
_cell_angle_beta 90.00
_cell_angle_gamma 90.00
_symmetry_space_group_name_H-M 'P 1'
_symmetry_Int_Tables_number 1
_symmetry_space_group_name_Hall 'P 1'
loop_
_atom_site_label
_atom_site_type_symbol
_atom_site_fract_x
_atom_site_fract_y
_atom_site_fract_z
Ca1 Ca 0.000 0.000 0.000
Cr1 Cr 0.000 0.000 0.500
Te1 Te 0.500 0.500 0.267
Te2 Te 0.500 0.500 0.733
# Total magnetic moment in μB/f.u.: 4.11
# Fermi-level density of states in states/eV/f.u.: 2.713

---

Entry 3
# PBE CaCrTe2, optimized geometry
data_CaCrTe2
_chemical_formula_sum 'Ca1 Cr1 Te2'
_cell_length_a 5.267
_cell_length_b 5.267
_cell_length_c 3.749
_cell_angle_alpha 90.00
_cell_angle_beta 90.00
_cell_angle_gamma 90.00
_symmetry_space_group_name_H-M 'P 1'
_symmetry_Int_Tables_number 1
_symmetry_space_group_name_Hall 'P 1'
loop_
_atom_site_label
_atom_site_type_symbol
_atom_site_fract_x
_atom_site_fract_y
_atom_site_fract_z
Ca1 Ca 0.000 0.000 0.000
Cr1 Cr 0.500 0.500 0.000
Te1 Te 0.000 0.500 0.500
Te2 Te 0.500 0.000 0.500
# Total magnetic moment in μB/f.u.: 4.09
# Fermi-level density of states in states/eV/f.u.: 1.289

---

Energies relative to the minimum, meV/atom: entry 1 0; entry 2 342; entry 3 256

---

Entry 1
# PBE CaCrTe2, optimized geometry
data_CaCrTe2
_chemical_formula_sum 'Ca1 Cr1 Te2'
_cell_length_a 4.310
_cell_length_b 4.310
_cell_length_c 6.090
_cell_angle_alpha 90.00
_cell_angle_beta 90.00
_cell_angle_gamma 90.00
_symmetry_space_group_name_H-M 'P 1'
_symmetry_Int_Tables_number 1
_symmetry_space_group_name_Hall 'P 1'
loop_
_atom_site_label
_atom_site_type_symbol
_atom_site_fract_x
_atom_site_fract_y
_atom_site_fract_z
Ca1 Ca 0.000 0.000 0.000
Cr1 Cr 0.500 0.500 0.501
Te1 Te 0.000 0.000 0.500
Te2 Te 0.500 0.500 0.001
# Total magnetic moment in μB/f.u.: 4.00
# Fermi-level density of states in states/eV/f.u.: 1.145

---

Entry 2
# PBE CaCrTe2, optimized geometry
data_CaCrTe2
_chemical_formula_sum 'Ca2 Cr2 Te4'
_cell_length_a 4.226
_cell_length_b 7.476
_cell_length_c 7.909
_cell_angle_alpha 90.00
_cell_angle_beta 90.00
_cell_angle_gamma 90.00
_symmetry_space_group_name_H-M 'P 1'
_symmetry_Int_Tables_number 1
_symmetry_space_group_name_Hall 'P 1'
loop_
_atom_site_label
_atom_site_type_symbol
_atom_site_fract_x
_atom_site_fract_y
_atom_site_fract_z
Ca1 Ca 0.000 0.000 0.000
Ca2 Ca 0.500 0.500 0.000
Cr1 Cr 0.000 0.000 0.500
Cr2 Cr 0.500 0.500 0.500
Te1 Te 0.000 0.500 0.275
Te2 Te 0.000 0.500 0.725
Te3 Te 0.500 0.000 0.275
Te4 Te 0.500 0.000 0.725
# Total magnetic moment in μB/f.u.: 4.00
# Fermi-level density of states in states/eV/f.u.: 0.500

---

Energies relative to the minimum, meV/atom: entry 1 0; entry 2 231

---

Entry 1
# PBE CaCrTe2, optimized geometry
data_CaCrTe2
_chemical_formula_sum 'Ca3 Cr3 Te6'
_cell_length_a 4.641
_cell_length_b 4.641
_cell_length_c 25.901
_cell_angle_alpha 90.00
_cell_angle_beta 90.00
_cell_angle_gamma 120.00
_symmetry_space_group_name_H-M 'P 1'
_symmetry_Int_Tables_number 1
_symmetry_space_group_name_Hall 'P 1'
loop_
_atom_site_label
_atom_site_type_symbol
_atom_site_fract_x
_atom_site_fract_y
_atom_site_fract_z
Ca1 Ca 0.000 0.000 0.000
Ca2 Ca 0.333 0.667 0.667
Ca3 Ca 0.667 0.333 0.333
Cr1 Cr 0.000 0.000 0.500
Cr2 Cr 0.333 0.667 0.167
Cr3 Cr 0.667 0.333 0.833
Te1 Te 0.000 0.000 0.401
Te2 Te 0.000 0.000 0.599
Te3 Te 0.333 0.667 0.067
Te4 Te 0.333 0.667 0.266
Te5 Te 0.667 0.333 0.734
Te6 Te 0.667 0.333 0.933
# Total magnetic moment in μB/f.u.: 4.00
# Fermi-level density of states in states/eV/f.u.: 3.189

---

Entry 2
# PBE CaCrTe2, optimized geometry
data_CaCrTe2
_chemical_formula_sum 'Ca2 Cr2 Te4'
_cell_length_a 4.958
_cell_length_b 4.238
_cell_length_c 11.718
_cell_angle_alpha 90.00
_cell_angle_beta 90.00
_cell_angle_gamma 90.00
_symmetry_space_group_name_H-M 'P 1'
_symmetry_Int_Tables_number 1
_symmetry_space_group_name_Hall 'P 1'
loop_
_atom_site_label
_atom_site_type_symbol
_atom_site_fract_x
_atom_site_fract_y
_atom_site_fract_z
Ca1 Ca 0.000 0.000 0.000
Ca2 Ca 0.000 0.500 0.500
Cr1 Cr 0.500 0.000 0.791
Cr2 Cr 0.500 0.500 0.291
Te1 Te 0.000 0.000 0.706
Te2 Te 0.000 0.500 0.206
Te3 Te 0.500 0.000 0.435
Te4 Te 0.500 0.500 0.935
# Total magnetic moment in μB/f.u.: 4.00
# Fermi-level density of states in states/eV/f.u.: 1.649

---

Energies relative to the minimum, meV/atom: entry 1 331; entry 2 0